Material: RbCdHg14
Method: DFT, GGA-PBE
State: relaxed

The structure in CIF format:
```
data_RbCdHg14
_cell_length_a 14.150
_cell_length_b 11.294
_cell_length_c 11.399
_cell_angle_alpha 78.49
_cell_angle_beta 49.57
_cell_angle_gamma 49.79
_space_group_name_H-M_alt 'P 1'
_space_group_IT_number 1
_space_group_name_Hall 'P 1'
loop_
_atom_site_label
_atom_site_fract_x
_atom_site_fract_y
_atom_site_fract_z
_atom_site_occupancy
Cd1 0.000 0.000 0.500 1
Cd2 0.500 0.000 0.500 1
Hg1 0.063 0.100 0.191 1
Hg2 0.478 0.526 0.176 1
Hg3 0.979 0.680 0.024 1
Hg4 0.323 0.302 0.749 1
Hg5 0.312 0.587 0.657 1
Hg6 0.522 0.474 0.824 1
Hg7 0.021 0.320 0.976 1
Hg8 0.825 0.249 0.803 1
Hg9 0.688 0.413 0.343 1
Hg10 0.677 0.698 0.251 1
Hg11 0.438 0.308 0.398 1
Hg12 0.174 0.064 0.700 1
Hg13 0.826 0.936 0.300 1
Hg14 0.672 0.201 0.566 1
Hg15 0.914 0.363 0.491 1
Hg16 0.562 0.692 0.602 1
Hg17 0.687 0.989 0.781 1
Hg18 0.188 0.839 0.912 1
Hg19 0.187 0.280 0.487 1
Hg20 0.417 0.988 0.864 1
Hg21 0.812 0.161 0.088 1
Hg22 0.937 0.900 0.809 1
Hg23 0.313 0.011 0.219 1
Hg24 0.583 0.012 0.136 1
Hg25 0.813 0.720 0.513 1
Hg26 0.086 0.637 0.509 1
Hg27 0.175 0.751 0.197 1
Hg28 0.328 0.799 0.434 1
Rb1 0.753 0.616 0.884 1
Rb2 0.247 0.384 0.116 1
```

Properties
DFT formation energy	-0.051	eV/atom
space group	P-1, No. 2

Material: Ce2PaC
Method: DFT, GGA-PBE
State: relaxed

The structure in CIF format:
```
data_Ce2PaC
_cell_length_a 3.322
_cell_length_b 3.322
_cell_length_c 9.323
_cell_angle_alpha 79.74
_cell_angle_beta 79.74
_cell_angle_gamma 60.00
_space_group_name_H-M_alt 'P 1'
_space_group_IT_number 1
_space_group_name_Hall 'P 1'
loop_
_atom_site_label
_atom_site_fract_x
_atom_site_fract_y
_atom_site_fract_z
_atom_site_occupancy
Ce1 0.112 0.112 0.665 1
Ce2 0.888 0.888 0.335 1
Pa1 0.000 0.000 0.000 1
C1 0.500 0.500 0.500 1
```

Properties
DFT formation energy	0.087	eV/atom
polymorph energy (0 for the lowest one)	0	meV/atom
space group	R-3m, No. 166

Material: PmEuBeSi
Method: DFT, GGA-PBE
State: relaxed

The structure in CIF format:
```
data_PmEuBeSi
_cell_length_a 5.054
_cell_length_b 5.054
_cell_length_c 5.054
_cell_angle_alpha 60.00
_cell_angle_beta 60.00
_cell_angle_gamma 60.00
_space_group_name_H-M_alt 'P 1'
_space_group_IT_number 1
_space_group_name_Hall 'P 1'
loop_
_atom_site_label
_atom_site_fract_x
_atom_site_fract_y
_atom_site_fract_z
_atom_site_occupancy
Si1 0.750 0.750 0.750 1
Eu1 0.000 0.000 0.000 1
Be1 0.250 0.250 0.250 1
Pm1 0.500 0.500 0.500 1
```

Properties
space group	F-43m, No. 216

Material: AgPb3I
Method: DFT, GGA-PBE
State: relaxed

The structure in CIF format:
```
data_AgPb3I
_cell_length_a 5.636
_cell_length_b 5.636
_cell_length_c 5.636
_cell_angle_alpha 90.00
_cell_angle_beta 90.00
_cell_angle_gamma 90.00
_space_group_name_H-M_alt 'P 1'
_space_group_IT_number 1
_space_group_name_Hall 'P 1'
loop_
_atom_site_label
_atom_site_fract_x
_atom_site_fract_y
_atom_site_fract_z
_atom_site_occupancy
Pb1 0.000 0.000 0.500 1
Pb2 0.000 0.500 0.000 1
Pb3 0.500 0.000 0.000 1
I1 0.500 0.500 0.500 1
Ag1 0.000 0.000 0.000 1
```

Properties
polymorph energy (0 for the lowest one)	0	meV/atom
space group	Pm-3m, No. 221

Material: CsTbCd2Cl8
Method: DFT, GGA-PBE
State: relaxed

The structure in CIF format:
```
data_CsTbCd2Cl8
_cell_length_a 6.684
_cell_length_b 6.777
_cell_length_c 9.562
_cell_angle_alpha 73.70
_cell_angle_beta 76.09
_cell_angle_gamma 74.97
_space_group_name_H-M_alt 'P 1'
_space_group_IT_number 1
_space_group_name_Hall 'P 1'
loop_
_atom_site_label
_atom_site_fract_x
_atom_site_fract_y
_atom_site_fract_z
_atom_site_occupancy
Cl1 0.254 0.795 0.801 1
Cl2 0.386 0.292 0.527 1
Cl3 0.746 0.205 0.199 1
Cl4 0.277 0.235 0.967 1
Cl5 0.166 0.714 0.224 1
Cl6 0.614 0.708 0.473 1
Cl7 0.723 0.765 0.033 1
Cl8 0.834 0.286 0.776 1
Cd1 0.544 0.554 0.280 1
Cd2 0.456 0.446 0.720 1
Cs1 0.000 0.000 0.500 1
Tb1 0.000 0.000 0.000 1
```

Properties
space group	P-1, No. 2

Material: K2TmPaTe4
Method: DFT, GGA-PBE
State: relaxed

The structure in CIF format:
```
data_K2TmPaTe4
_cell_length_a 4.407
_cell_length_b 7.740
_cell_length_c 8.716
_cell_angle_alpha 106.78
_cell_angle_beta 90.00
_cell_angle_gamma 90.00
_space_group_name_H-M_alt 'P 1'
_space_group_IT_number 1
_space_group_name_Hall 'P 1'
loop_
_atom_site_label
_atom_site_fract_x
_atom_site_fract_y
_atom_site_fract_z
_atom_site_occupancy
Tm1 0.000 0.000 0.000 1
Pa1 0.500 0.500 0.000 1
K1 0.500 0.000 0.500 1
K2 0.000 0.500 0.500 1
Te1 0.500 0.232 0.209 1
Te2 0.000 0.256 0.787 1
Te3 0.000 0.744 0.213 1
Te4 0.500 0.768 0.791 1
```

Properties
space group	P2/m, No. 10

Material: Zr2PPtRh
Method: DFT, GGA-PBE
State: relaxed

The structure in CIF format:
```
data_Zr2PPtRh
_cell_length_a 4.846
_cell_length_b 4.259
_cell_length_c 4.846
_cell_angle_alpha 90.00
_cell_angle_beta 90.00
_cell_angle_gamma 90.00
_space_group_name_H-M_alt 'P 1'
_space_group_IT_number 1
_space_group_name_Hall 'P 1'
loop_
_atom_site_label
_atom_site_fract_x
_atom_site_fract_y
_atom_site_fract_z
_atom_site_occupancy
Pt1 0.500 0.500 0.500 1
Zr1 0.000 0.000 0.500 1
Zr2 0.500 0.000 0.000 1
P1 0.000 0.000 0.000 1
Rh1 0.000 0.500 0.000 1
```

Properties
DFT formation energy	-0.395	eV/atom
space group	P4/mmm, No. 123

Material: Sm2Pt3Au
Method: DFT, GGA-PBE
State: relaxed

The structure in CIF format:
```
data_Sm2Pt3Au
_cell_length_a 6.101
_cell_length_b 6.101
_cell_length_c 8.302
_cell_angle_alpha 105.73
_cell_angle_beta 105.73
_cell_angle_gamma 105.19
_space_group_name_H-M_alt 'P 1'
_space_group_IT_number 1
_space_group_name_Hall 'P 1'
loop_
_atom_site_label
_atom_site_fract_x
_atom_site_fract_y
_atom_site_fract_z
_atom_site_occupancy
Au1 0.336 0.336 0.672 1
Au2 0.664 0.664 0.328 1
Pt1 0.845 0.845 0.690 1
Pt2 0.155 0.155 0.310 1
Pt3 0.839 0.339 0.178 1
Pt4 0.339 0.839 0.178 1
Pt5 0.661 0.161 0.822 1
Pt6 0.161 0.661 0.822 1
Sm1 0.250 0.750 0.500 1
Sm2 0.750 0.250 0.500 1
Sm3 0.753 0.753 0.000 1
Sm4 0.247 0.247 0.000 1
```

Properties
DFT formation energy	-0.889	eV/atom
space group	Fmmm, No. 69

Material: PuNpPa2
Method: DFT, GGA-PBE
State: relaxed

The structure in CIF format:
```
data_PuNpPa2
_cell_length_a 5.052
_cell_length_b 5.052
_cell_length_c 5.052
_cell_angle_alpha 60.00
_cell_angle_beta 60.00
_cell_angle_gamma 60.00
_space_group_name_H-M_alt 'P 1'
_space_group_IT_number 1
_space_group_name_Hall 'P 1'
loop_
_atom_site_label
_atom_site_fract_x
_atom_site_fract_y
_atom_site_fract_z
_atom_site_occupancy
Pu1 0.500 0.500 0.500 1
Pa1 0.250 0.250 0.250 1
Pa2 0.750 0.750 0.750 1
Np1 0.000 0.000 0.000 1
```

Properties
DFT formation energy	0.302	eV/atom
polymorph energy (0 for the lowest one)	135	meV/atom
space group	Fm-3m, No. 225

Taking the records one at a time from the top gives total energy values of -0.433 -7.560 -6.136 -2.847 -3.452 -4.716 -7.575 -6.029 -11.264 eV/atom.